# 1
The following is a SCAN calculation of a crystal of K2RbBi2 relaxed with PBEsol, from Alexandria via LeMat-Bulk.

Cell: 9.348 9.348 4.969 Å, 90.00 90.00 90.00°
Fractional positions:
K 0.170 0.330 0.000
K 0.330 0.830 0.000
K 0.670 0.170 0.000
K 0.830 0.670 0.000
Rb 0.000 0.000 0.500
Rb 0.500 0.500 0.500
Bi 0.112 0.612 0.500
Bi 0.388 0.112 0.500
Bi 0.612 0.888 0.500
Bi 0.888 0.388 0.500

Properties
M_tot: 0.00 μB per formula unit
Total DFT energy (no corrections): -39.27 eV/atom
Formation energy: -0.36 eV/atom
DOS(E_F): 8.52 states/eV per cell
Space-group type: P4/mbm (127)

# 2
The following is a SCAN calculation of a crystal of K2RbBiSe3 relaxed with PBEsol, from Alexandria via LeMat-Bulk.

Cell: 9.818 9.818 9.818 Å, 90.00 90.00 90.00°
Fractional positions:
K 0.180 0.320 0.680
K 0.186 0.686 0.814
K 0.314 0.314 0.314
K 0.320 0.680 0.180
K 0.680 0.180 0.320
K 0.686 0.814 0.186
K 0.814 0.186 0.686
K 0.820 0.820 0.820
Rb 0.072 0.072 0.072
Rb 0.428 0.928 0.572
Rb 0.572 0.428 0.928
Rb 0.928 0.572 0.428
Bi 0.034 0.966 0.466
Bi 0.466 0.034 0.966
Bi 0.534 0.534 0.534
Bi 0.966 0.466 0.034
Se 0.002 0.226 0.393
Se 0.107 0.998 0.726
Se 0.226 0.393 0.002
Se 0.274 0.607 0.502
Se 0.393 0.002 0.226
Se 0.498 0.774 0.893
Se 0.502 0.274 0.607
Se 0.607 0.502 0.274
Se 0.726 0.107 0.998
Se 0.774 0.893 0.498
Se 0.893 0.498 0.774
Se 0.998 0.726 0.107

Properties
M_tot: 0.00 μB per formula unit
Formation energy without anion corrections: -25.024 kcal/mol of atoms
Total DFT energy (no corrections): -26.26 eV/atom
DOS(E_F): 0.00 states/eV per cell
Space-group type: P2_13 (198)

# 3
The following is a SCAN calculation of a crystal of K3BiRh relaxed with PBEsol, from Alexandria via LeMat-Bulk.

Cell: 6.595 6.595 6.595 Å, 90.00 90.00 90.00°
Fractional positions:
K 0.000 0.000 0.500
K 0.000 0.500 0.000
K 0.500 0.000 0.000
Bi 0.000 0.000 0.000
Rh 0.500 0.500 0.500

Properties
M_tot: 3.00 μB per formula unit
Total DFT energy (no corrections): -26.68 eV/atom
Formation energy: 0.78 eV/atom
DOS(E_F): 10.34 states/eV per cell
Space-group type: Pm-3m (221)

# 4
The following is a SCAN calculation of a crystal of KBi3Ru relaxed with PBEsol, from Alexandria via LeMat-Bulk.

Cell: 5.340 5.340 5.340 Å, 90.00 90.00 90.00°
Fractional positions:
K 0.000 0.000 0.000
Bi 0.000 0.500 0.500
Bi 0.500 0.000 0.500
Bi 0.500 0.500 0.000
Ru 0.500 0.500 0.500

Properties
M_tot: 0.00 μB per formula unit
Total DFT energy (no corrections): -55.56 eV/atom
Formation energy: 0.22 eV/atom
DOS(E_F): 3.93 states/eV per cell
Space-group type: Pm-3m (221)

# 5
The following is a SCAN calculation of a crystal of KBiS2 relaxed with PBEsol, from Alexandria via LeMat-Bulk.

Cell: 7.718 7.718 7.718 Å, 30.69 30.69 30.69°
Fractional positions:
K 0.000 0.000 0.000
Bi 0.500 0.500 0.500
S 0.238 0.238 0.238
S 0.762 0.762 0.762

Properties
M_tot: 0.00 μB per formula unit
Formation energy without anion corrections: -19.666 kcal/mol of atoms
Total DFT energy (no corrections): -27.39 eV/atom
DOS(E_F): 0.00 states/eV per cell
Space-group type: R-3m (166)

# 6
The following is a SCAN calculation of a crystal of KBi3S relaxed with PBEsol, from Alexandria via LeMat-Bulk.

Cell: 5.471 5.471 5.471 Å, 90.00 90.00 90.00°
Fractional positions:
K 0.000 0.000 0.000
Bi 0.000 0.500 0.500
Bi 0.500 0.000 0.500
Bi 0.500 0.500 0.000
S 0.500 0.500 0.500

Properties
M_tot: 0.00 μB per formula unit
Formation energy without anion corrections: 4.824 kcal/mol of atoms
Total DFT energy (no corrections): -50.53 eV/atom
DOS(E_F): 5.40 states/eV per cell
Space-group type: Pm-3m (221)